First-principles (PBE-GGA) data for Tb6MgRh2 after structural relaxation, as listed in Alexandria via LeMat-Bulk.

a = 9.4616 Å, b = 9.6039 Å, c = 10.5197 Å
α = 90.00°, β = 90.00°, γ = 90.00°
With the nearest neighbours (Å) after each atom.
Space group Immm (No. 71)
Symmetry-distinct sites (fractional):
Tb 0.0000 0.1998 0.2372  1 Rh 2.77
Tb 0.1915 0.5000 0.1756  1 Rh 2.73
Tb 0.2131 0.3184 0.5000  3 Rh 3.00-3.05, 1 Mg 3.23
Mg 0.0000 0.0000 0.0000  2 Rh 3.13, 8 Tb 3.15-3.23
Mg 0.0000 0.0000 0.5000  12 Tb 3.37-3.66
Rh 0.0000 0.3255 0.0000  8 Tb 2.77-3.08
Rh 0.0000 0.5000 0.3691  6 Tb 2.73-3.00, 1 Rh 2.75

Computed properties:
Its total moment is 0.0 μB/cell. For the density of states at the Fermi level, the calculation gives 9.0 states/eV/f.u. The calculated formation energy is -0.457 eV/atom.


First-principles (PBE-GGA) data for RbGaSCl2 after structural relaxation, as listed in Alexandria via LeMat-Bulk.

a = 6.1388 Å, b = 6.1388 Å, c = 5.9902 Å
α = 90.00°, β = 90.00°, γ = 90.00°
With the nearest neighbours (Å) after each atom.
Space group P4/mmm (No. 123)
Symmetry-distinct sites (fractional):
Rb 0.0000 0.0000 0.0000  2 S 3.00, 4 Cl 3.07
Ga 0.5000 0.5000 0.5000  8 Cl 4.29, 4 S 4.34
S 0.0000 0.0000 0.5000  2 Rb 3.00
Cl 0.0000 0.5000 0.0000  2 Rb 3.07

Computed properties:
Its total moment is 2.1 μB/cell. For the density of states at the Fermi level, the calculation gives 7.1 states/eV/f.u. The value obtained for the excess energy over the best structure of this formula in the dataset is 4.88 eV per formula unit.


First-principles (PBE-GGA) data for CeDySiPd after structural relaxation, as listed in Alexandria via LeMat-Bulk.

a = 7.1310 Å, b = 7.1310 Å, c = 7.1310 Å
α = 90.00°, β = 90.00°, γ = 90.00°
With the nearest neighbours (Å) after each atom.
Space group F-43m (No. 216)
Symmetry-distinct sites (fractional):
Ce 0.0000 0.0000 0.0000  4 Pd 3.09, 4 Si 3.09
Dy 0.0000 0.0000 0.5000  4 Pd 3.09, 4 Si 3.09
Si 0.2500 0.2500 0.7500  4 Dy 3.09, 4 Ce 3.09
Pd 0.2500 0.2500 0.2500  4 Dy 3.09, 4 Ce 3.09

Computed properties:
Its total moment is 4.2 μB/cell. For the density of states at the Fermi level, the calculation gives 8.3 states/eV/f.u. For the total energy, the calculation gives -5.8885 eV per atom.


First-principles (PBE-GGA) data for Ca2ZrPaSb4 after structural relaxation, as listed in Alexandria via LeMat-Bulk.

a = 7.4733 Å, b = 4.3461 Å, c = 7.7533 Å
α = 90.00°, β = 108.77°, γ = 90.00°
With the nearest neighbours (Å) after each atom.
Space group P2/m (No. 10)
Symmetry-distinct sites (fractional):
Ca 0.0000 0.0000 0.0000  6 Sb 3.15
Ca 0.5000 0.5000 0.0000  6 Sb 3.21
Zr 0.0000 0.5000 0.5000  6 Sb 2.98-3.00
Pa 0.5000 0.0000 0.5000  6 Sb 3.05-3.06
Sb 0.2372 0.0000 0.7301  2 Zr 3.00, 1 Pa 3.05, 3 Ca 3.15-3.21
Sb 0.2475 0.5000 0.2652  1 Zr 2.98, 2 Pa 3.06, 3 Ca 3.15-3.21

Computed properties:
Its total moment is 0.4 μB/cell. For the density of states at the Fermi level, the calculation gives 5.2 states/eV/f.u. For the total energy, the calculation gives -5.5795 eV per atom.


First-principles (PBE-GGA) data for La3PbN after structural relaxation, as listed in Alexandria via LeMat-Bulk.

a = 6.2534 Å, b = 6.5204 Å, c = 7.0054 Å
α = 100.95°, β = 93.19°, γ = 100.65°
With the nearest neighbours (Å) after each atom.
Space group P-1 (No. 2)
Symmetry-distinct sites (fractional):
La 0.1883 0.1846 0.4497  2 N 2.51-2.53
La 0.2697 0.6594 0.2730  2 N 2.57-2.59
La 0.3014 0.6932 0.7708  2 N 2.56-2.58
Pb 0.1981 0.1974 0.9433  9 La 3.37-3.77, 1 Pb 3.47
N 0.0000 0.5000 0.5000  6 La 2.53-2.59
N 0.5000 0.5000 0.5000  6 La 2.51-2.58

Computed properties:
Its total moment is 0.0 μB/cell. For the density of states at the Fermi level, the calculation gives 3.4 states/eV/f.u. For the total energy, the calculation gives -6.1835 eV per atom.


First-principles (PBE-GGA) data for Ta2PbI after structural relaxation, as listed in Alexandria via LeMat-Bulk.

a = 6.9467 Å, b = 6.9467 Å, c = 6.9467 Å
α = 90.00°, β = 90.00°, γ = 90.00°
With the nearest neighbours (Å) after each atom.
Space group Fm-3m (No. 225)
Symmetry-distinct sites (fractional):
Ta 0.2500 0.2500 0.2500  4 I 3.01, 4 Pb 3.01
Pb 0.0000 0.0000 0.0000  8 Ta 3.01
I 0.0000 0.0000 0.5000  8 Ta 3.01

Computed properties:
Its total moment is 0.0 μB/cell. For the density of states at the Fermi level, the calculation gives 7.5 states/eV/f.u. The value obtained for the excess energy over the best structure of this formula in the dataset is 0.00 eV per formula unit.


First-principles (PBE-GGA) data for InCoW2 after structural relaxation, as listed in Alexandria via LeMat-Bulk.

a = 5.3129 Å, b = 9.0112 Å, c = 2.7673 Å
α = 90.00°, β = 104.85°, γ = 90.00°
With the nearest neighbours (Å) after each atom.
Space group C2/m (No. 12)
Symmetry-distinct sites (fractional):
In 0.0000 0.0000 0.0000  2 Co 2.66, 2 In 2.77, 4 W 2.79
Co 0.0000 0.5000 0.0000  2 In 2.66, 2 Co 2.77, 4 W 2.79
W 0.2500 0.2500 0.5000  4 W 2.66-2.77, 2 In 2.79, 2 Co 2.79

Computed properties:
Its total moment is 2.6 μB/cell. For the density of states at the Fermi level, the calculation gives 4.5 states/eV/f.u. The calculated formation energy is 0.533 eV/atom.


First-principles (PBE-GGA) data for Ce4Bi3H2 after structural relaxation, as listed in Alexandria via LeMat-Bulk.

a = 14.0322 Å, b = 9.7900 Å, c = 7.0168 Å
α = 90.00°, β = 105.59°, γ = 90.00°
With the nearest neighbours (Å) after each atom.
Space group C2/c (No. 15)
Symmetry-distinct sites (fractional):
Ce 0.1095 0.2234 0.0389  2 H 2.40-2.43
Ce 0.1971 0.4343 0.6038  2 H 2.35-2.39
Bi 0.0000 0.4895 0.2500  8 Ce 3.23-3.56, 2 H 3.40, 2 Bi 3.51
Bi 0.1227 0.1197 0.5874  6 Ce 3.21-3.38, 3 H 3.31-3.45
H 0.2259 0.3642 0.9351  4 Ce 2.35-2.43, 1 H 2.44

Computed properties:
Its total moment is 20.9 μB/cell. For the density of states at the Fermi level, the calculation gives 23.7 states/eV/f.u. The value obtained for the excess energy over the best structure of this formula in the dataset is 0.19 eV per formula unit.


First-principles (PBE-GGA) data for Zn2CoBr after structural relaxation, as listed in Alexandria via LeMat-Bulk.

a = 6.4673 Å, b = 6.4673 Å, c = 6.4673 Å
α = 90.00°, β = 90.00°, γ = 90.00°
With the nearest neighbours (Å) after each atom.
Space group Fm-3m (No. 225)
Symmetry-distinct sites (fractional):
Zn 0.2500 0.2500 0.2500  4 Co 2.80, 4 Br 2.80
Co 0.0000 0.0000 0.0000  8 Zn 2.80
Br 0.0000 0.0000 0.5000  8 Zn 2.80

Computed properties:
Its total moment is 2.5 μB/cell. For the density of states at the Fermi level, the calculation gives 4.4 states/eV/f.u. The value obtained for the excess energy over the best structure of this formula in the dataset is 2.69 eV per formula unit.


First-principles (PBE-GGA) data for Rb3Ce3MnS8 after structural relaxation, as listed in Alexandria via LeMat-Bulk.

a = 8.1408 Å, b = 8.1408 Å, c = 23.2781 Å
α = 90.00°, β = 90.00°, γ = 120.00°
With the nearest neighbours (Å) after each atom.
Space group R-3m (No. 166, hexagonal axes)
Symmetry-distinct sites (fractional):
Rb 0.0000 0.5000 0.0000  6 S 3.33-3.39
Ce 0.0000 0.5000 0.5000  6 S 2.77-2.80
Mn 0.0000 0.0000 0.5000  6 S 2.67
S 0.0000 0.0000 0.2320  3 Ce 2.80
S 0.0106 0.5053 0.2269  1 Mn 2.67, 2 Ce 2.77

Computed properties:
Its total moment is 18.2 μB/cell. For the density of states at the Fermi level, the calculation gives 17.0 states/eV/f.u. For the total energy, the calculation gives -5.7193 eV per atom.


First-principles (PBE-GGA) data for Tl2PtBr after structural relaxation, as listed in Alexandria via LeMat-Bulk.

a = 7.4603 Å, b = 7.4603 Å, c = 7.4603 Å
α = 90.00°, β = 90.00°, γ = 90.00°
With the nearest neighbours (Å) after each atom.
Space group Fm-3m (No. 225)
Symmetry-distinct sites (fractional):
Tl 0.2500 0.2500 0.2500  4 Br 3.23, 4 Pt 3.23
Pt 0.0000 0.0000 0.0000  8 Tl 3.23
Br 0.0000 0.0000 0.5000  8 Tl 3.23

Computed properties:
Its total moment is 0.0 μB/cell. For the density of states at the Fermi level, the calculation gives 4.2 states/eV/f.u. The value obtained for the excess energy over the best structure of this formula in the dataset is 1.28 eV per formula unit.